Below is a relaxed RbHoSbSe3 crystal, with properties calculated at the PBE level.

Geometry as POSCAR:
```
RbHoSbSe3
1.0
1.9785 -8.5638 0.0000
1.9785 8.5638 0.0000
0.0000 0.0000 11.8294
Rb Ho Sb Se
2 2 2 6
direct
0.1932 0.8068 0.7500
0.8068 0.1932 0.2500
0.5000 0.5000 0.0000
0.5000 0.5000 0.5000
0.1121 0.8879 0.2500
0.8879 0.1121 0.7500
0.1168 0.8832 0.0125
0.1168 0.8832 0.4875
0.4861 0.5139 0.2500
0.5139 0.4861 0.7500
0.8832 0.1168 0.5125
0.8832 0.1168 0.9875
```

## Properties
* raw total energy: -52.22 eV/cell